Compound: CrB2F8
Source: Alexandria via LeMat-Bulk
Functional: PBE with a Hubbard U
Structure: optimized geometry

Unit cell a=6.654 b=5.939 c=9.353 alpha=84.39 beta=69.16 gamma=55.93
Atoms (fractional coordinates):
Cr: 0.987 0.750 0.250
Cr: 0.013 0.250 0.750
B: 0.894 0.821 0.933
B: 0.351 0.321 0.433
B: 0.649 0.679 0.567
B: 0.106 0.179 0.067
F: 0.382 0.799 0.611
F: 0.190 0.917 0.129
F: 0.781 0.887 0.101
F: 0.293 0.160 0.387
F: 0.219 0.113 0.899
F: 0.840 0.340 0.113
F: 0.707 0.840 0.613
F: 0.231 0.387 0.601
F: 0.160 0.660 0.887
F: 0.792 0.701 0.889
F: 0.764 0.417 0.629
F: 0.236 0.583 0.371
F: 0.208 0.299 0.111
F: 0.769 0.613 0.399
F: 0.618 0.201 0.389
F: 0.810 0.083 0.871

Values from the calculation:
The crystal system is monoclinic. As for the space group: No. 15. The magnetic moment comes out at 0.364 μB/atom. The total energy comes out at -0.2208 Ha/atom.